VASP calculation (PBE) on a geometry-optimized NaCd4In4 structure.

Output
Its energy above the most stable polymorph in this dataset is 0.0845 eV per atom. The density of states at the Fermi level comes out at 5.26 states/eV per cell. As for the mass density: 5.5 g cm⁻³. For the formation energy, the calculation gives 0.62 eV/f.u.

Structure (CIF):
```
data_NaCd4In4
_cell_length_a 9.607
_cell_length_b 9.607
_cell_length_c 6.054
_cell_angle_alpha 90.00
_cell_angle_beta 90.00
_cell_angle_gamma 90.00
_space_group_name_H-M_alt 'P 42/n'
_space_group_IT_number 86
loop_
_space_group_symop_operation_xyz
'x,y,z'
'-x,-y,-z'
'-y,x+1/2,z+1/2'
'y,-x+1/2,-z+1/2'
'-x+1/2,-y+1/2,z'
'x+1/2,y+1/2,-z'
'y+1/2,-x,z+1/2'
'-y+1/2,x,-z+1/2'
loop_
_atom_site_label
_atom_site_type_symbol
_atom_site_fract_x
_atom_site_fract_y
_atom_site_fract_z
Na1 Na 0.250 0.250 0.250
Cd1 Cd 0.088 0.911 0.134
In1 In 0.106 0.607 0.127
```

=====

VASP calculation (PBE) on a geometry-optimized AgSbIO6 structure.

Output
Its formation energy from raw total energies is -5.17 eV per formula unit. The density of states at the Fermi level comes out at 6.08 states/eV per cell. As for the mass density: 5.7 g cm⁻³.

Structure (CIF):
```
data_AgSbIO6
_cell_length_a 5.4215
_cell_length_b 5.4215
_cell_length_c 10.3460
_cell_angle_alpha 90.00
_cell_angle_beta 90.00
_cell_angle_gamma 120.00
_space_group_name_H-M_alt 'P -3 1 c'
_space_group_IT_number 163
_space_group_name_Hall '-P 3 2c'
loop_
_atom_site_label
_atom_site_type_symbol
_atom_site_fract_x
_atom_site_fract_y
_atom_site_fract_z
Ag1 Ag 0.0000 0.0000 0.0000
Sb1 Sb 0.3333 0.6667 0.2500
I1 I 0.3333 0.6667 0.7500
O1 O 0.0007 0.3738 0.1423
```

=====

VASP calculation (PBE) on a geometry-optimized K6PaI12 structure.

Output
Its formation energy from raw total energies is -22.09 eV per formula unit. The density of states at the Fermi level comes out at 39.98 states/eV per cell. As for the mass density: 3.2 g cm⁻³.

Structure (CIF):
```
data_K6PaI12
_cell_length_a 14.7505
_cell_length_b 14.7505
_cell_length_c 16.6780
_cell_angle_alpha 90.00
_cell_angle_beta 90.00
_cell_angle_gamma 120.00
_space_group_name_H-M_alt 'R -3'
_space_group_IT_number 148
_space_group_name_Hall '-R 3'
loop_
_atom_site_label
_atom_site_type_symbol
_atom_site_fract_x
_atom_site_fract_y
_atom_site_fract_z
K1 K 0.0437 0.2635 0.1128
Pa1 Pa 0.0000 0.0000 0.5000
I1 I 0.0377 0.2434 0.9031
I2 I 0.0782 0.1883 0.3977
```

=====

VASP calculation (PBE) on a geometry-optimized NdY2Mg structure.

Output
Its energy above the most stable polymorph in this dataset is 0.0083 eV per atom. The density of states at the Fermi level comes out at 10.77 states/eV per cell. As for the mass density: 4.6 g cm⁻³. For the formation energy, the calculation gives -0.12 eV/f.u.

Structure (CIF):
```
data_NdY2Mg
_cell_length_a 12.793
_cell_length_b 3.852
_cell_length_c 5.606
_cell_angle_alpha 90.00
_cell_angle_beta 115.92
_cell_angle_gamma 90.00
_space_group_name_H-M_alt 'C 1 2/m 1'
_space_group_IT_number 12
_space_group_name_Hall '-C 2y'
loop_
_atom_site_label
_atom_site_type_symbol
_atom_site_fract_x
_atom_site_fract_y
_atom_site_fract_z
Nd1 Nd 0.000 0.000 0.000
Y1 Y 0.228 0.000 0.728
Mg1 Mg 0.000 0.500 0.500
```

=====

VASP calculation (PBE) on a geometry-optimized AsSe2N2 structure.

Output
Its energy above the most stable polymorph in this dataset is 1.5306 eV per atom. Its formation energy from raw total energies is 7.66 eV per formula unit. The density of states at the Fermi level comes out at 3.12 states/eV per cell. As for the mass density: 4.0 g cm⁻³.

Structure (CIF):
```
data_AsSe2N2
_cell_length_a 3.733
_cell_length_b 3.733
_cell_length_c 7.821
_cell_angle_alpha 90.00
_cell_angle_beta 90.00
_cell_angle_gamma 90.00
_space_group_name_H-M_alt 'P 4/m m m'
_space_group_IT_number 123
_space_group_name_Hall '-P 4 2'
loop_
_atom_site_label
_atom_site_type_symbol
_atom_site_fract_x
_atom_site_fract_y
_atom_site_fract_z
As1 As 0.000 0.000 0.000
Se1 Se 0.500 0.500 0.000
Se2 Se 0.500 0.500 0.500
N1 N 0.000 0.500 0.500
```

=====

VASP calculation (PBE) on a geometry-optimized Sm3HoS structure.

Output
Its formation energy from raw total energies is -3.31 eV per formula unit. The density of states at the Fermi level comes out at 5.78 states/eV per cell. As for the mass density: 6.8 g cm⁻³.

Structure (CIF):
```
data_Sm3HoS
_cell_length_a 5.416
_cell_length_b 5.416
_cell_length_c 5.416
_cell_angle_alpha 90.00
_cell_angle_beta 90.00
_cell_angle_gamma 90.00
_space_group_name_H-M_alt 'P m -3 m'
_space_group_IT_number 221
_space_group_name_Hall '-P 4 2 3'
loop_
_atom_site_label
_atom_site_type_symbol
_atom_site_fract_x
_atom_site_fract_y
_atom_site_fract_z
Sm1 Sm 0.000 0.000 0.500
Ho1 Ho 0.500 0.500 0.500
S1 S 0.000 0.000 0.000
```

=====

VASP calculation (PBE) on a geometry-optimized MnZnSb2 structure.

Output
Its formation energy from raw total energies is 0.56 eV per formula unit. The density of states at the Fermi level comes out at 1.79 states/eV per cell. As for the mass density: 6.8 g cm⁻³.

Structure (CIF):
```
data_MnZnSb2
_cell_length_a 3.109
_cell_length_b 3.926
_cell_length_c 7.311
_cell_angle_alpha 90.00
_cell_angle_beta 90.00
_cell_angle_gamma 90.00
_space_group_name_H-M_alt 'P m m 2'
_space_group_IT_number 25
_space_group_name_Hall 'P 2 -2'
loop_
_atom_site_label
_atom_site_type_symbol
_atom_site_fract_x
_atom_site_fract_y
_atom_site_fract_z
Mn1 Mn 0.000 0.000 0.000
Zn1 Zn 0.500 0.500 0.813
Sb1 Sb 0.000 0.000 0.615
Sb2 Sb 0.500 0.500 0.193
```

=====

VASP calculation (PBE) on a geometry-optimized NbPtSN2 structure.

Output
Its energy above the most stable polymorph in this dataset is 0.5321 eV per atom. Its formation energy from raw total energies is 6.18 eV per formula unit. The density of states at the Fermi level comes out at 4.68 states/eV per cell. As for the mass density: 7.9 g cm⁻³.

Structure (CIF):
```
data_NbPtSN2
_cell_length_a 3.901
_cell_length_b 3.901
_cell_length_c 4.819
_cell_angle_alpha 90.00
_cell_angle_beta 90.00
_cell_angle_gamma 90.00
_space_group_name_H-M_alt 'P 4/m m m'
_space_group_IT_number 123
_space_group_name_Hall '-P 4 2'
loop_
_atom_site_label
_atom_site_type_symbol
_atom_site_fract_x
_atom_site_fract_y
_atom_site_fract_z
Nb1 Nb 0.000 0.000 0.000
Pt1 Pt 0.500 0.500 0.500
S1 S 0.500 0.500 0.000
N1 N 0.000 0.500 0.500
```

=====

VASP calculation (PBE) on a geometry-optimized Pm3PrSc structure.

Output
The density of states at the Fermi level comes out at 31.18 states/eV per cell. As for the mass density: 6.3 g cm⁻³. For the formation energy, the calculation gives 0.23 eV/f.u.

Structure (CIF):
```
data_Pm3PrSc
_cell_length_a 18.619
_cell_length_b 3.595
_cell_length_c 10.124
_cell_angle_alpha 90.00
_cell_angle_beta 105.63
_cell_angle_gamma 90.00
_space_group_name_H-M_alt 'C 1 2/m 1'
_space_group_IT_number 12
_space_group_name_Hall '-C 2y'
loop_
_atom_site_label
_atom_site_type_symbol
_atom_site_fract_x
_atom_site_fract_y
_atom_site_fract_z
Pm1 Pm 0.001 0.000 0.248
Pm2 Pm 0.104 0.500 0.044
Pm3 Pm 0.203 0.000 0.342
Pr1 Pr 0.103 0.500 0.559
Sc1 Sc 0.203 0.000 0.860
```

=====

VASP calculation (PBE) on a geometry-optimized Li2TcSb structure.

Output
Its formation energy from raw total energies is 0.53 eV per formula unit. The density of states at the Fermi level comes out at 3.26 states/eV per cell. As for the mass density: 5.8 g cm⁻³.

Structure (CIF):
```
data_Li2TcSb
_cell_length_a 2.836
_cell_length_b 4.359
_cell_length_c 5.417
_cell_angle_alpha 90.00
_cell_angle_beta 90.00
_cell_angle_gamma 90.00
_space_group_name_H-M_alt 'P m m m'
_space_group_IT_number 47
_space_group_name_Hall '-P 2 2'
loop_
_atom_site_label
_atom_site_type_symbol
_atom_site_fract_x
_atom_site_fract_y
_atom_site_fract_z
Li1 Li 0.000 0.000 0.230
Tc1 Tc 0.500 0.500 0.000
Sb1 Sb 0.500 0.500 0.500
```